## A
Computed, not measured: a relaxed structure of CdNi2Pb at the GGA-PBE level of DFT.

Computed properties:
N(E_F), states/eV/f.u.: 2.30

Cell: 4.547 4.547 4.547 Å, 60.00 60.00 60.00°
Positions (direct):
Cd (0.000, 0.000, 0.000)
Ni (0.250, 0.250, 0.250)
Ni (0.750, 0.750, 0.750)
Pb (0.500, 0.500, 0.500)

=====

## B
Computed, not measured: a relaxed structure of CdNi2Pb at the GGA-PBE level of DFT.

Computed properties:
N(E_F), states/eV/f.u.: 4.43

Cell: 3.167 3.167 7.230 Å, 90.00 90.00 90.00°
Positions (direct):
Cd (0.000, 0.000, 0.000)
Ni (0.000, 0.000, 0.376)
Ni (0.500, 0.500, 0.214)
Pb (0.500, 0.500, 0.613)

=====

Most stable structure, least stable structure: A, B.

=====

## A
Computed, not measured: a relaxed structure of Cd2NiPb2 at the GGA-PBE level of DFT.

Computed properties:
N(E_F), states/eV/f.u.: 2.08

Cell: 6.850 6.850 5.319 Å, 90.00 90.00 90.00°
Positions (direct):
Cd (0.152, 0.348, 0.000)
Cd (0.348, 0.848, 0.000)
Cd (0.652, 0.152, 0.000)
Cd (0.848, 0.652, 0.000)
Ni (0.000, 0.000, 0.000)
Ni (0.500, 0.500, 0.000)
Pb (0.182, 0.682, 0.500)
Pb (0.318, 0.182, 0.500)
Pb (0.682, 0.818, 0.500)
Pb (0.818, 0.318, 0.500)

=====

## B
Computed, not measured: a relaxed structure of Cd2NiPb2 at the GGA-PBE level of DFT.

Computed properties:
N(E_F), states/eV/f.u.: 3.81

Cell: 8.013 8.013 8.013 Å, 148.69 148.69 44.86°
Positions (direct):
Cd (0.090, 0.090, 0.000)
Cd (0.910, 0.910, 0.000)
Ni (0.500, 0.500, 0.000)
Pb (0.250, 0.750, 0.500)
Pb (0.750, 0.250, 0.500)

=====

Most stable structure, least stable structure: A, B.

=====

## A
Computed, not measured: a relaxed structure of Cd4NiPb at the GGA-PBE level of DFT.

Computed properties:
N(E_F), states/eV/f.u.: 2.34

Cell: 8.065 8.065 5.699 Å, 109.30 109.30 51.28°
Positions (direct):
Cd (0.107, 0.666, 0.394)
Cd (0.205, 0.795, 0.000)
Cd (0.329, 0.329, 0.823)
Cd (0.334, 0.893, 0.606)
Cd (0.666, 0.107, 0.394)
Cd (0.671, 0.671, 0.177)
Cd (0.795, 0.205, 0.000)
Cd (0.893, 0.334, 0.606)
Ni (0.499, 0.499, 0.286)
Ni (0.501, 0.501, 0.714)
Pb (0.206, 0.206, 0.200)
Pb (0.794, 0.794, 0.800)

=====

## B
Computed, not measured: a relaxed structure of Cd4NiPb at the GGA-PBE level of DFT.

Computed properties:
N(E_F), states/eV/f.u.: 1.17

Cell: 5.758 5.758 5.758 Å, 60.00 60.00 60.00°
Positions (direct):
Cd (0.124, 0.124, 0.124)
Cd (0.124, 0.124, 0.627)
Cd (0.124, 0.627, 0.124)
Cd (0.627, 0.124, 0.124)
Ni (0.750, 0.750, 0.750)
Pb (0.500, 0.500, 0.500)

=====

Most stable structure, least stable structure: A, B.

=====

## A
Computed, not measured: a relaxed structure of Cd2Ni2Pb at the GGA-PBE level of DFT.

Computed properties:
N(E_F), states/eV/f.u.: 4.42

Cell: 7.899 7.899 2.988 Å, 90.00 90.00 90.00°
Positions (direct):
Cd (0.131, 0.369, 0.000)
Cd (0.369, 0.869, 0.000)
Cd (0.631, 0.131, 0.000)
Cd (0.869, 0.631, 0.000)
Ni (0.163, 0.663, 0.500)
Ni (0.337, 0.163, 0.500)
Ni (0.663, 0.837, 0.500)
Ni (0.837, 0.337, 0.500)
Pb (0.000, 0.000, 0.000)
Pb (0.500, 0.500, 0.000)

=====

## B
Computed, not measured: a relaxed structure of Cd2Ni2Pb at the GGA-PBE level of DFT.

Computed properties:
N(E_F), states/eV/f.u.: 4.90

Cell: 9.332 9.332 9.332 Å, 159.15 159.15 29.65°
Positions (direct):
Cd (0.133, 0.133, 0.000)
Cd (0.867, 0.867, 0.000)
Ni (0.250, 0.750, 0.500)
Ni (0.750, 0.250, 0.500)
Pb (0.500, 0.500, 0.000)

=====

Most stable structure, least stable structure: B, A.

=====

## A
Computed, not measured: a relaxed structure of Cd2Ni2Pb at the GGA-PBE level of DFT.

Computed properties:
N(E_F), states/eV/f.u.: 2.86

Cell: 7.009 7.009 3.699 Å, 90.00 90.00 90.00°
Positions (direct):
Cd (0.154, 0.346, 0.000)
Cd (0.346, 0.846, 0.000)
Cd (0.654, 0.154, 0.000)
Cd (0.846, 0.654, 0.000)
Ni (0.135, 0.635, 0.500)
Ni (0.365, 0.135, 0.500)
Ni (0.635, 0.865, 0.500)
Ni (0.865, 0.365, 0.500)
Pb (0.000, 0.000, 0.500)
Pb (0.500, 0.500, 0.500)

=====

## B
Computed, not measured: a relaxed structure of Cd2Ni2Pb at the GGA-PBE level of DFT.

Computed properties:
N(E_F), states/eV/f.u.: 3.23

Cell: 6.605 6.605 6.605 Å, 144.40 144.40 51.22°
Positions (direct):
Cd (0.250, 0.750, 0.500)
Cd (0.750, 0.250, 0.500)
Ni (0.097, 0.097, 0.000)
Ni (0.903, 0.903, 0.000)
Pb (0.500, 0.500, 0.000)

=====

Most stable structure, least stable structure: A, B.

=====

## A
Computed, not measured: a relaxed structure of CdNi2Pb2 at the GGA-PBE level of DFT.

Computed properties:
N(E_F), states/eV/f.u.: 2.93

Cell: 8.021 8.021 3.173 Å, 90.00 90.00 90.00°
Positions (direct):
Cd (0.000, 0.000, 0.000)
Cd (0.500, 0.500, 0.000)
Ni (0.125, 0.375, 0.500)
Ni (0.375, 0.875, 0.500)
Ni (0.625, 0.125, 0.500)
Ni (0.875, 0.625, 0.500)
Pb (0.160, 0.660, 0.000)
Pb (0.340, 0.160, 0.000)
Pb (0.660, 0.840, 0.000)
Pb (0.840, 0.340, 0.000)

=====

## B
Computed, not measured: a relaxed structure of CdNi2Pb2 at the GGA-PBE level of DFT.

Computed properties:
N(E_F), states/eV/f.u.: 3.48

Cell: 9.232 9.232 9.232 Å, 158.07 158.07 31.21°
Positions (direct):
Cd (0.000, 0.000, 0.000)
Ni (0.250, 0.750, 0.500)
Ni (0.750, 0.250, 0.500)
Pb (0.367, 0.367, 0.000)
Pb (0.633, 0.633, 0.000)

=====

Most stable structure, least stable structure: B, A.

=====

## A
Computed, not measured: a relaxed structure of CdNiSn2Pb at the GGA-PBE level of DFT.

Computed properties:
N(E_F), states/eV/f.u.: 1.87

Cell: 4.985 4.985 5.343 Å, 90.00 90.00 90.00°
Positions (direct):
Cd (0.000, 0.000, 0.000)
Ni (0.500, 0.500, 0.500)
Sn (0.000, 0.500, 0.500)
Sn (0.500, 0.000, 0.500)
Pb (0.500, 0.500, 0.000)

=====

## B
Computed, not measured: a relaxed structure of CdNiSn2Pb at the GGA-PBE level of DFT.

Computed properties:
N(E_F), states/eV/f.u.: 3.70

Cell: 5.002 5.002 5.125 Å, 90.00 90.00 90.00°
Positions (direct):
Cd (0.000, 0.000, 0.000)
Ni (0.000, 0.000, 0.500)
Sn (0.000, 0.500, 0.500)
Sn (0.500, 0.000, 0.500)
Pb (0.500, 0.500, 0.000)

=====

Most stable structure, least stable structure: B, A.

=====

## A
Computed, not measured: a relaxed structure of Tl2CdNiPb at the GGA-PBE level of DFT.

Computed properties:
N(E_F), states/eV/f.u.: 3.57

Cell: 5.115 5.115 5.294 Å, 90.00 90.00 90.00°
Positions (direct):
Tl (0.000, 0.500, 0.000)
Tl (0.500, 0.000, 0.000)
Cd (0.000, 0.000, 0.500)
Ni (0.500, 0.500, 0.000)
Pb (0.500, 0.500, 0.500)

=====

## B
Computed, not measured: a relaxed structure of Tl2CdNiPb at the GGA-PBE level of DFT.

Computed properties:
N(E_F), states/eV/f.u.: 3.64

Cell: 5.086 5.086 5.137 Å, 90.00 90.00 90.00°
Positions (direct):
Tl (0.000, 0.500, 0.000)
Tl (0.500, 0.000, 0.000)
Cd (0.000, 0.000, 0.500)
Ni (0.000, 0.000, 0.000)
Pb (0.500, 0.500, 0.500)

=====

Most stable structure, least stable structure: A, B.

=====

## A
Computed, not measured: a relaxed structure of CdNiPd4 at the GGA-PBE level of DFT.

Computed properties:
N(E_F), states/eV/f.u.: 6.39

Cell: 4.920 4.920 7.520 Å, 112.33 112.33 33.83°
Positions (direct):
Cd (0.000, 0.000, 0.000)
Ni (0.000, 0.000, 0.500)
Pd (0.331, 0.331, 0.185)
Pd (0.346, 0.346, 0.654)
Pd (0.654, 0.654, 0.346)
Pd (0.669, 0.669, 0.815)

=====

## B
Computed, not measured: a relaxed structure of CdNiPd4 at the GGA-PBE level of DFT.

Computed properties:
N(E_F), states/eV/f.u.: 5.02

Cell: 2.892 2.892 11.059 Å, 90.00 90.00 90.00°
Positions (direct):
Cd (0.000, 0.000, 0.000)
Ni (0.500, 0.500, 0.500)
Pd (0.000, 0.000, 0.355)
Pd (0.000, 0.000, 0.645)
Pd (0.500, 0.500, 0.180)
Pd (0.500, 0.500, 0.820)

=====

Most stable structure, least stable structure: B, A.

=====

## A
Computed, not measured: a relaxed structure of CdNiPd at the GGA-PBE level of DFT.

Computed properties:
N(E_F), states/eV/f.u.: 3.22

Cell: 11.755 11.755 11.755 Å, 165.88 165.88 20.03°
Positions (direct):
Cd (0.142, 0.142, 0.000)
Cd (0.858, 0.858, 0.000)
Ni (0.278, 0.278, 0.000)
Ni (0.722, 0.722, 0.000)
Pd (0.443, 0.443, 0.000)
Pd (0.557, 0.557, 0.000)

=====

## B
Computed, not measured: a relaxed structure of CdNiPd at the GGA-PBE level of DFT.

Computed properties:
N(E_F), states/eV/f.u.: 3.24

Cell: 5.718 5.718 5.718 Å, 150.21 150.21 42.64°
Positions (direct):
Cd (0.000, 0.000, 0.000)
Ni (0.666, 0.666, 0.000)
Pd (0.314, 0.314, 0.000)

=====

Most stable structure, least stable structure: B, A.

=====

## A
Computed, not measured: a relaxed structure of Cd2Ni2Pd at the GGA-PBE level of DFT.

Computed properties:
N(E_F), states/eV/f.u.: 2.35

Cell: 6.507 6.507 3.797 Å, 90.00 90.00 90.00°
Positions (direct):
Cd (0.176, 0.324, 0.000)
Cd (0.324, 0.824, 0.000)
Cd (0.676, 0.176, 0.000)
Cd (0.824, 0.676, 0.000)
Ni (0.124, 0.624, 0.500)
Ni (0.376, 0.124, 0.500)
Ni (0.624, 0.876, 0.500)
Ni (0.876, 0.376, 0.500)
Pd (0.000, 0.000, 0.500)
Pd (0.500, 0.500, 0.500)

=====

## B
Computed, not measured: a relaxed structure of Cd2Ni2Pd at the GGA-PBE level of DFT.

Computed properties:
N(E_F), states/eV/f.u.: 3.08

Cell: 7.525 7.525 2.862 Å, 90.00 90.00 90.00°
Positions (direct):
Cd (0.173, 0.327, 0.000)
Cd (0.327, 0.827, 0.000)
Cd (0.673, 0.173, 0.000)
Cd (0.827, 0.673, 0.000)
Ni (0.121, 0.621, 0.500)
Ni (0.379, 0.121, 0.500)
Ni (0.621, 0.879, 0.500)
Ni (0.879, 0.379, 0.500)
Pd (0.000, 0.000, 0.000)
Pd (0.500, 0.500, 0.000)

=====

Most stable structure, least stable structure: A, B.

=====

## A
Computed, not measured: a relaxed structure of CdNiPd3 at the GGA-PBE level of DFT.

Computed properties:
N(E_F), states/eV/f.u.: 7.83

Cell: 4.596 4.596 4.596 Å, 90.00 90.00 90.00°
Positions (direct):
Cd (0.000, 0.000, 0.000)
Ni (0.500, 0.500, 0.500)
Pd (0.000, 0.500, 0.500)
Pd (0.500, 0.000, 0.500)
Pd (0.500, 0.500, 0.000)

=====

## B
Computed, not measured: a relaxed structure of CdNiPd3 at the GGA-PBE level of DFT.

Computed properties:
N(E_F), states/eV/f.u.: 12.27

Cell: 4.937 4.937 4.937 Å, 90.00 90.00 90.00°
Positions (direct):
Cd (0.000, 0.000, 0.000)
Ni (0.500, 0.500, 0.500)
Pd (0.000, 0.000, 0.500)
Pd (0.000, 0.500, 0.000)
Pd (0.500, 0.000, 0.000)

=====

Most stable structure, least stable structure: A, B.